# 1
# KCaRe2

A relaxed KCaRe2 crystal (PBE, Alexandria).

Structure (POSCAR):
```
KCaRe2
1.0
2.667 0.000 0.000
0.000 5.186 0.000
0.000 0.000 7.243
K Ca Re
1 1 2
direct
0.000 0.000 0.000
0.000 0.000 0.500
0.500 0.500 0.337
0.500 0.500 0.663
```

Results
Relative energy among the computed polymorphs = 1.56 eV per formula unit
Calculated formation energy = 0.9816 eV/atom
D(E_F) = 1.41 states/eV/cell
Total magnetization = 0.000 μB per cell


# 2
# KCaRe3

A relaxed KCaRe3 crystal (PBE, Alexandria).

Structure (POSCAR):
```
KCaRe3
1.0
4.943 0.000 0.000
0.000 4.943 0.000
0.000 0.000 4.943
K Ca Re
1 1 3
direct
0.000 0.000 0.000
0.500 0.500 0.500
0.000 0.500 0.500
0.500 0.000 0.500
0.500 0.500 0.000
```

Results
Relative energy among the computed polymorphs = 0.00 eV per formula unit
Calculated formation energy = 3.3238 eV/atom
D(E_F) = 5.77 states/eV/cell
Total magnetization = 4.495 μB per cell


# 3
# K2CaRe

A relaxed K2CaRe crystal (PBE, Alexandria).

Structure (POSCAR):
```
K2CaRe
1.0
4.711 0.000 0.000
0.000 4.711 0.000
0.000 0.000 6.229
K Ca Re
2 1 1
direct
0.000 0.500 0.000
0.500 0.000 0.000
0.000 0.000 0.500
0.500 0.500 0.500
```

Results
Relative energy among the computed polymorphs = 1.38 eV per formula unit
Calculated formation energy = 1.3626 eV/atom
D(E_F) = 4.82 states/eV/cell
Total magnetization = 3.069 μB per cell